Record 1
Here is LuVFe4 after structural relaxation from Alexandria via LeMat-Bulk. Energies are from PBE. Values from VASP.

Geometry as Quantum ESPRESSO input:
```
&SYSTEM
  ibrav = 0, nat = 6, ntyp = 3
/
ATOMIC_SPECIES
Lu 174.97 Lu.upf
V 50.94 V.upf
Fe 55.84 Fe.upf
ATOMIC_POSITIONS angstrom
Lu 0.000 0.000 0.000
V 1.733 1.733 1.733
Fe 4.328 2.604 2.604
Fe 2.604 4.328 2.604
Fe 2.604 2.604 4.328
Fe 4.328 4.328 4.328
CELL_PARAMETERS angstrom
0.000 3.466 3.466
3.466 0.000 3.466
3.466 3.466 0.000
```

Results
formation enthalpy at 0 K	-0.5	eV/f.u.
total DFT energy (no corrections)	-8.003	eV per atom

---

Record 2
Here is LuFe4W after structural relaxation from Alexandria via LeMat-Bulk. Energies are from PBE. Values from VASP.

Geometry as Quantum ESPRESSO input:
```
&SYSTEM
  ibrav = 0, nat = 6, ntyp = 3
/
ATOMIC_SPECIES
Lu 174.97 Lu.upf
Fe 55.84 Fe.upf
W 183.84 W.upf
ATOMIC_POSITIONS angstrom
Lu 0.000 0.000 0.000
Fe 4.317 2.600 2.600
Fe 2.600 4.317 2.600
Fe 2.600 2.600 4.317
Fe 4.317 4.317 4.317
W 1.729 1.729 1.729
CELL_PARAMETERS angstrom
0.000 3.459 3.459
3.459 0.000 3.459
3.459 3.459 0.000
```

Results
formation enthalpy at 0 K	0.1	eV/f.u.
total DFT energy (no corrections)	-8.537	eV per atom

---

Record 3
Here is LuFe2W after structural relaxation from Alexandria via LeMat-Bulk. Energies are from PBE. Values from VASP.

Geometry as Quantum ESPRESSO input:
```
&SYSTEM
  ibrav = 0, nat = 4, ntyp = 3
/
ATOMIC_SPECIES
Lu 174.97 Lu.upf
Fe 55.84 Fe.upf
W 183.84 W.upf
ATOMIC_POSITIONS angstrom
Lu 0.000 0.000 0.000
Fe 1.520 1.520 1.926
Fe 1.520 1.520 4.689
W 0.000 0.000 3.308
CELL_PARAMETERS angstrom
3.041 0.000 0.000
0.000 3.041 0.000
0.000 0.000 6.615
```

Results
formation enthalpy at 0 K	0.3	eV/f.u.
total DFT energy (no corrections)	-8.531	eV per atom

---

Record 4
Here is YLu2Fe after structural relaxation from Alexandria via LeMat-Bulk. Energies are from PBE. Values from VASP.

Geometry as Quantum ESPRESSO input:
```
&SYSTEM
  ibrav = 0, nat = 4, ntyp = 3
/
ATOMIC_SPECIES
Y 88.91 Y.upf
Lu 174.97 Lu.upf
Fe 55.84 Fe.upf
ATOMIC_POSITIONS angstrom
Y 0.000 0.000 0.000
Lu 1.649 1.649 2.861
Lu 1.649 1.649 5.991
Fe 0.000 0.000 4.426
CELL_PARAMETERS angstrom
3.298 0.000 0.000
0.000 3.298 0.000
0.000 0.000 8.852
```

Results
formation enthalpy at 0 K	0.1	eV/f.u.
total DFT energy (no corrections)	-5.969	eV per atom

---

Record 5
Here is YLu3Fe after structural relaxation from Alexandria via LeMat-Bulk. Energies are from PBE. Values from VASP.

Geometry as Quantum ESPRESSO input:
```
&SYSTEM
  ibrav = 0, nat = 5, ntyp = 3
/
ATOMIC_SPECIES
Y 88.91 Y.upf
Lu 174.97 Lu.upf
Fe 55.84 Fe.upf
ATOMIC_POSITIONS angstrom
Y 0.000 0.000 0.000
Lu 0.000 2.577 2.577
Lu 2.577 0.000 2.577
Lu 2.577 2.577 0.000
Fe 2.577 2.577 2.577
CELL_PARAMETERS angstrom
5.154 0.000 0.000
0.000 5.154 0.000
0.000 0.000 5.154
```

Results
formation enthalpy at 0 K	0.3	eV/f.u.
total DFT energy (no corrections)	-5.635	eV per atom

---

Record 6
Here is YLuFe4 after structural relaxation from Alexandria via LeMat-Bulk. Energies are from PBE. Values from VASP.

Geometry as Quantum ESPRESSO input:
```
&SYSTEM
  ibrav = 0, nat = 6, ntyp = 3
/
ATOMIC_SPECIES
Y 88.91 Y.upf
Lu 174.97 Lu.upf
Fe 55.84 Fe.upf
ATOMIC_POSITIONS angstrom
Y 0.000 0.000 0.000
Lu 1.804 1.804 1.804
Fe 4.506 2.708 2.708
Fe 2.708 4.506 2.708
Fe 2.708 2.708 4.506
Fe 4.506 4.506 4.506
CELL_PARAMETERS angstrom
0.000 3.607 3.607
3.607 0.000 3.607
3.607 3.607 0.000
```

Results
formation enthalpy at 0 K	-0.7	eV/f.u.
total DFT energy (no corrections)	-7.588	eV per atom

---

What did the sixth record say?
Here is YLuFe4 after structural relaxation from Alexandria via LeMat-Bulk. Energies are from PBE. Values from VASP.

Geometry as Quantum ESPRESSO input:
```
&SYSTEM
  ibrav = 0, nat = 6, ntyp = 3
/
ATOMIC_SPECIES
Y 88.91 Y.upf
Lu 174.97 Lu.upf
Fe 55.84 Fe.upf
ATOMIC_POSITIONS angstrom
Y 0.000 0.000 0.000
Lu 1.804 1.804 1.804
Fe 4.506 2.708 2.708
Fe 2.708 4.506 2.708
Fe 2.708 2.708 4.506
Fe 4.506 4.506 4.506
CELL_PARAMETERS angstrom
0.000 3.607 3.607
3.607 0.000 3.607
3.607 3.607 0.000
```

Results
formation enthalpy at 0 K	-0.7	eV/f.u.
total DFT energy (no corrections)	-7.588	eV per atom

---

- What is the total DFT energy (no corrections) in the fourth record?
  -5.969 eV per atom

---

- formation enthalpy at 0 K of number 5 (YLu3Fe)?
  0.3 eV/f.u.